[1]
Compound: Sm4SiPd
Source: the Alexandria database
Functional: PBE
Structure: optimized geometry

As for the crystal system: orthorhombic.

Structure (POSCAR):
```
Sm4SiPd
1.0
5.290 0.000 0.000
0.000 6.251 0.000
-2.645 0.000 10.530
Sm Si Pd
8 2 2
Direct
0.887 0.303 0.773
0.113 0.803 0.227
0.557 0.338 0.114
0.289 0.061 0.577
0.711 0.561 0.423
0.304 0.577 0.608
0.443 0.838 0.886
0.696 0.077 0.392
0.161 0.323 0.322
0.839 0.823 0.678
0.577 0.831 0.154
0.423 0.331 0.846
```

---

[2]
Compound: Sm3Si2Pd
Source: the Alexandria database
Functional: PBE
Structure: optimized geometry

As for the crystal system: orthorhombic.

Structure (POSCAR):
```
Sm3Si2Pd
1.0
4.313 0.000 0.000
0.000 11.572 0.000
0.000 0.000 11.701
Sm Si Pd
12 8 4
Direct
0.750 0.561 0.622
0.750 0.939 0.122
0.250 0.439 0.378
0.250 0.375 0.056
0.750 0.192 0.290
0.250 0.061 0.878
0.750 0.625 0.944
0.750 0.308 0.790
0.250 0.692 0.210
0.750 0.875 0.444
0.250 0.808 0.710
0.250 0.125 0.556
0.750 0.999 0.690
0.750 0.313 0.520
0.250 0.001 0.310
0.750 0.501 0.190
0.750 0.187 0.020
0.250 0.499 0.810
0.250 0.813 0.980
0.250 0.687 0.480
0.250 0.370 0.629
0.750 0.630 0.371
0.750 0.870 0.871
0.250 0.130 0.129
```

---

[3]
Compound: Sm2SiPd
Source: the Alexandria database
Functional: PBE
Structure: optimized geometry

As for the crystal system: orthorhombic.

Structure (POSCAR):
```
Sm2SiPd
1.0
4.265 0.000 0.000
0.000 3.822 -1.449
0.000 0.037 5.863
Si Sm Pd
1 2 1
Direct
0.500 0.549 0.098
0.000 0.986 0.973
0.500 0.266 0.531
0.000 0.698 0.397
```

---

[4]
Compound: Sm2Si2Pd5
Source: the Alexandria database
Functional: PBE
Structure: optimized geometry

As for the crystal system: tetragonal.

Structure (POSCAR):
```
Sm2Si2Pd5
1.0
-0.253 -0.469 -4.191
-1.595 -3.875 0.530
-8.344 3.451 0.118
Pd Sm Si
5 2 2
Direct
0.000 0.500 0.733
0.000 0.500 0.267
0.500 0.500 0.500
0.500 0.000 0.733
0.500 0.000 0.267
0.000 0.000 0.000
0.000 0.000 0.500
0.500 0.500 0.868
0.500 0.500 0.132
```

---

[5]
Compound: Sm3Si2SnPd9
Source: the Alexandria database
Functional: PBE
Structure: optimized geometry

As for the crystal system: trigonal.

Structure (POSCAR):
```
Sm3Si2SnPd9
1.0
6.370 0.000 0.000
-3.185 5.516 0.000
0.000 0.000 9.229
Pd Sm Si Sn
9 3 2 1
Direct
0.500 0.000 0.000
0.000 0.500 0.000
0.854 0.146 0.729
0.293 0.146 0.729
0.707 0.854 0.271
0.146 0.854 0.271
0.146 0.293 0.271
0.854 0.707 0.729
0.500 0.500 0.000
0.333 0.667 0.719
0.667 0.333 0.281
0.000 0.000 0.000
0.667 0.333 0.832
0.333 0.667 0.168
0.000 0.000 0.500
```

---

[6]
Compound: Sm4Si3SnPd12
Source: the Alexandria database
Functional: PBE
Structure: optimized geometry

As for the crystal system: cubic.

Structure (POSCAR):
```
Sm4Si3SnPd12
1.0
-2.871 1.440 7.486
-6.225 -0.706 -5.206
4.313 -6.910 0.028
Pd Sm Si Sn
12 4 3 1
Direct
0.000 0.265 0.265
0.265 0.265 0.000
0.500 0.250 0.750
0.735 0.735 0.000
0.250 0.750 0.500
0.000 0.735 0.735
0.750 0.500 0.250
0.250 0.500 0.750
0.735 0.000 0.735
0.265 0.000 0.265
0.500 0.750 0.250
0.750 0.250 0.500
0.000 0.500 0.000
0.500 0.000 0.000
0.000 0.000 0.500
0.500 0.500 0.500
0.500 0.500 0.000
0.000 0.500 0.500
0.500 0.000 0.500
0.000 0.000 0.000
```

---

[7]
Compound: TbSmSi2Pd5
Source: the Alexandria database
Functional: PBE
Structure: optimized geometry

As for the crystal system: tetragonal.

Structure (POSCAR):
```
TbSmSi2Pd5
1.0
-0.599 1.564 -3.856
-4.009 0.827 0.958
2.392 8.180 2.946
Pd Si Sm Tb
5 2 1 1
Direct
0.000 0.500 0.266
0.500 0.500 0.500
0.000 0.500 0.734
0.500 0.000 0.266
0.500 0.000 0.734
0.500 0.500 0.869
0.500 0.500 0.131
0.000 0.000 0.500
0.000 0.000 0.000
```

---

[8]
Compound: SmYSiPd
Source: the Alexandria database
Functional: PBE
Structure: optimized geometry

As for the crystal system: orthorhombic.

Structure (POSCAR):
```
SmYSiPd
1.0
4.044 0.000 0.000
0.000 4.254 0.000
-2.022 0.000 5.423
Si Pd Sm Y
1 1 1 1
Direct
0.574 0.500 0.149
0.425 0.000 0.850
0.140 0.000 0.280
0.861 0.500 0.721
```

---

[9]
Compound: SmYSi2Pd5
Source: the Alexandria database
Functional: PBE
Structure: optimized geometry

As for the crystal system: tetragonal.

Structure (POSCAR):
```
SmYSi2Pd5
1.0
-3.309 -1.283 -2.247
-0.608 -3.160 2.701
-5.401 5.267 4.947
Si Pd Y Sm
2 5 1 1
Direct
0.500 0.500 0.131
0.500 0.500 0.869
0.500 0.000 0.735
0.500 0.000 0.265
0.500 0.500 0.500
0.000 0.500 0.265
0.000 0.500 0.735
0.000 0.000 0.000
0.000 0.000 0.500
```

---

[10]
Compound: SmYSiPd
Source: the Alexandria database
Functional: PBE
Structure: optimized geometry

As for the crystal system: cubic.

Structure (POSCAR):
```
SmYSiPd
1.0
5.040 0.000 0.000
2.520 4.365 0.000
2.520 1.455 4.115
Pd Sm Si Y
1 1 1 1
Direct
0.750 0.750 0.750
0.000 0.000 0.000
0.250 0.250 0.250
0.500 0.500 0.500
```

---

[11]
Compound: SmZnSi2Pd5
Source: the Alexandria database
Functional: PBE
Structure: optimized geometry

As for the crystal system: tetragonal.

Structure (POSCAR):
```
SmZnSi2Pd5
1.0
-4.391 0.525 -1.483
-1.003 -4.321 1.441
-1.854 2.563 6.394
Pd Sm Si Zn
5 1 2 1
Direct
0.500 0.500 0.500
0.000 0.500 0.770
0.000 0.500 0.230
0.500 0.000 0.230
0.500 0.000 0.770
0.000 0.000 0.500
0.500 0.500 0.158
0.500 0.500 0.842
0.000 0.000 0.000
```

---

[12]
Compound: SmZn2SiPd2
Source: the Alexandria database
Functional: PBE
Structure: optimized geometry

As for the crystal system: tetragonal.

Structure (POSCAR):
```
SmZn2SiPd2
1.0
4.573 0.000 0.000
0.000 4.573 0.000
0.000 0.000 5.610
Pd Si Zn Sm
2 1 2 1
Direct
0.000 0.500 0.000
0.500 0.000 0.000
0.000 0.000 0.000
0.500 0.500 0.270
0.500 0.500 0.730
0.000 0.000 0.500
```

---

[13]
Compound: Sm3Zn2SiPd9
Source: the Alexandria database
Functional: PBE
Structure: optimized geometry

As for the crystal system: trigonal.

Structure (POSCAR):
```
Sm3Zn2SiPd9
1.0
-4.676 -1.218 -4.407
5.886 -2.783 -0.623
-2.608 -6.539 4.574
Pd Sm Zn Si
9 3 2 1
Direct
0.859 0.141 0.704
0.281 0.141 0.704
0.500 0.500 0.000
0.719 0.859 0.296
0.859 0.719 0.704
0.141 0.281 0.296
0.000 0.500 0.000
0.500 0.000 0.000
0.141 0.859 0.296
0.000 0.000 0.000
0.667 0.333 0.294
0.333 0.667 0.706
0.667 0.333 0.811
0.333 0.667 0.189
0.000 0.000 0.500
```

---

[14]
Compound: Sm3ZnSi6Pd2
Source: the Alexandria database
Functional: PBE
Structure: optimized geometry

As for the crystal system: trigonal.

Structure (POSCAR):
```
Sm3ZnSi6Pd2
1.0
-2.647 -3.459 -3.729
3.174 -2.229 4.223
-6.661 -0.192 4.905
Si Sm Zn Pd
6 3 1 2
Direct
0.384 0.192 0.723
0.616 0.808 0.277
0.808 0.192 0.723
0.808 0.616 0.723
0.192 0.384 0.277
0.192 0.808 0.277
0.333 0.667 0.612
0.667 0.333 0.388
0.000 0.000 0.000
0.000 0.000 0.500
0.333 0.667 0.027
0.667 0.333 0.973
```

---

[15]
Compound: Sm2ZnSi3Pd4
Source: the Alexandria database
Functional: PBE
Structure: optimized geometry

As for the crystal system: tetragonal.

Structure (POSCAR):
```
Sm2ZnSi3Pd4
1.0
4.242 0.000 0.000
0.000 4.242 0.000
0.000 0.000 10.018
Pd Zn Sm Si
4 1 2 3
Direct
0.000 0.000 0.000
0.500 0.500 0.000
0.500 0.000 0.633
0.000 0.500 0.367
0.500 0.500 0.500
0.000 0.500 0.748
0.500 0.000 0.252
0.000 0.000 0.500
0.500 0.000 0.871
0.000 0.500 0.129
```

---

[16]
Compound: SmZn2SiPd4
Source: the Alexandria database
Functional: PBE
Structure: optimized geometry

As for the crystal system: trigonal.

Structure (POSCAR):
```
SmZn2SiPd4
1.0
-2.280 3.669 -0.442
-2.130 1.656 3.403
5.304 6.234 3.057
Si Sm Pd Zn
1 1 4 2
Direct
0.500 0.500 0.500
0.000 0.000 0.000
0.405 0.405 0.786
0.136 0.136 0.591
0.595 0.595 0.214
0.864 0.864 0.409
0.247 0.247 0.258
0.753 0.753 0.742
```

---

[17]
Compound: SmZnSi2Pd
Source: the Alexandria database
Functional: PBE
Structure: optimized geometry

As for the crystal system: tetragonal.

Structure (POSCAR):
```
SmZnSi2Pd
1.0
4.107 0.000 0.000
0.000 4.107 0.000
-2.054 -2.054 5.191
Zn Pd Sm Si
1 1 1 2
Direct
0.750 0.250 0.500
0.250 0.750 0.500
0.000 0.000 0.000
0.386 0.386 0.772
0.614 0.614 0.228
```

---

[18]
Compound: Sm2ZnSiPd6
Source: the Alexandria database
Functional: PBE
Structure: optimized geometry

As for the crystal system: cubic.

Structure (POSCAR):
```
Sm2ZnSiPd6
1.0
6.575 0.000 0.000
0.000 6.575 0.000
3.287 3.287 4.649
Pd Zn Si Sm
6 1 1 2
Direct
0.243 0.243 0.513
0.757 0.757 0.487
0.757 0.243 0.000
0.243 0.243 0.000
0.243 0.757 0.000
0.757 0.757 0.000
0.500 0.500 0.000
0.000 0.000 0.000
0.250 0.750 0.500
0.750 0.250 0.500
```

---

[19]
Compound: Sm2ZnSi4Pd3
Source: the Alexandria database
Functional: PBE
Structure: optimized geometry

As for the crystal system: tetragonal.

Structure (POSCAR):
```
Sm2ZnSi4Pd3
1.0
-1.216 -3.359 2.195
2.785 0.945 2.988
-6.962 5.602 4.716
Pd Zn Sm Si
3 1 2 4
Direct
0.000 0.000 0.500
0.500 0.000 0.878
0.000 0.500 0.122
0.500 0.500 0.500
0.500 0.000 0.247
0.000 0.500 0.753
0.500 0.500 0.000
0.000 0.500 0.362
0.500 0.000 0.638
0.000 0.000 0.000
```

---

[20]
Compound: Si6Sn2Pd21
Source: the Alexandria database
Functional: PBE
Structure: optimized geometry

As for the crystal system: cubic.

Structure (POSCAR):
```
Si6Sn2Pd21
1.0
7.472 0.000 4.314
2.491 7.045 4.314
0.000 0.000 8.628
Pd Si Sn
21 6 2
Direct
0.658 0.000 0.342
0.342 0.000 0.658
0.000 0.000 0.658
0.342 0.658 0.000
0.140 0.620 0.620
0.658 0.000 0.000
0.342 0.000 0.000
0.000 0.342 0.658
0.000 0.658 0.342
0.860 0.380 0.380
0.000 0.000 0.342
0.000 0.342 0.000
0.620 0.620 0.140
0.000 0.658 0.000
0.620 0.620 0.620
0.380 0.380 0.380
0.620 0.140 0.620
0.000 0.000 0.000
0.380 0.380 0.860
0.658 0.342 0.000
0.380 0.860 0.380
0.269 0.731 0.731
0.731 0.269 0.269
0.731 0.731 0.269
0.269 0.269 0.731
0.269 0.731 0.269
0.731 0.269 0.731
0.250 0.250 0.250
0.750 0.750 0.750
```

---

Number 1: DFT total energy -5.2378 eV per atom. Number 2: DFT total energy -5.8022 eV per atom. Number 3: DFT total energy -5.7970 eV per atom. Number 4: DFT total energy -6.0525 eV per atom. Number 5: DFT total energy -5.6740 eV per atom. Number 6: DFT total energy -5.5954 eV per atom. Number 7: DFT total energy -6.0462 eV per atom. Number 8: DFT total energy -6.2653 eV per atom. Number 9: DFT total energy -6.2511 eV per atom. Number 10: DFT total energy -6.1448 eV per atom. Number 11: DFT total energy -5.3245 eV per atom. Number 12: DFT total energy -4.2738 eV per atom. Number 13: DFT total energy -5.0718 eV per atom. Number 14: DFT total energy -5.2602 eV per atom. Number 15: DFT total energy -5.6301 eV per atom. Number 16: DFT total energy -4.7937 eV per atom. Number 17: DFT total energy -5.1530 eV per atom. Number 18: DFT total energy -5.2191 eV per atom. Number 19: DFT total energy -5.6018 eV per atom. Number 20: DFT total energy -5.7138 eV per atom.